Material: TlGeSbOs2
Method: DFT, GGA-PBE
State: relaxed

total magnetic moment: 0.340 μB/atom
excess energy over the best structure of this formula in the dataset: 0 meV per atom
DOS(E_F): 5.96 states/eV per cell
energy relative to the elements, uncorrected: 1.84 eV per atom

a b c (Å): 4.945 4.945 5.292
angles (deg): 90.00 90.00 90.00
Positions (direct):
1 Tl 0.000 0.000 0.000
2 Ge 0.500 0.500 0.000
3 Sb 0.500 0.500 0.500
4 Os 0.000 0.500 0.500
5 Os 0.500 0.000 0.500

***

Material: Al3Ru
Method: DFT, GGA-PBE
State: relaxed

total magnetic moment: 0.000 μB/atom
ΔE_f: -0.50 eV per atom
DOS(E_F): 0.23 states/eV per cell

a b c (Å): 6.528 6.528 6.593
angles (deg): 90.00 90.00 90.00
Positions (direct):
1 Al 0.000 0.500 0.000
2 Al 0.000 0.500 0.500
3 Al 0.155 0.155 0.235
4 Al 0.155 0.155 0.765
5 Al 0.345 0.655 0.265
6 Al 0.345 0.655 0.735
7 Al 0.500 0.000 0.000
8 Al 0.500 0.000 0.500
9 Al 0.655 0.345 0.265
10 Al 0.655 0.345 0.735
11 Al 0.845 0.845 0.235
12 Al 0.845 0.845 0.765
13 Ru 0.158 0.842 0.000
14 Ru 0.342 0.342 0.500
15 Ru 0.658 0.658 0.500
16 Ru 0.842 0.158 0.000